Record 1
## LaDy2SbN4 (PBE)

Data for an optimized crystal structure of LaDy2SbN4.

a = 6.214 Å, b = 6.214 Å, c = 11.889 Å
α = 90.00°, β = 90.00°, γ = 145.21°
Element x y z (fractional)
La: 0.103 0.897 0.750
La: 0.897 0.103 0.250
Dy: 0.372 0.628 0.538
Dy: 0.372 0.628 0.962
Dy: 0.628 0.372 0.038
Dy: 0.628 0.372 0.462
Sb: 0.154 0.846 0.250
Sb: 0.846 0.154 0.750
N: 0.000 0.000 0.000
N: 0.000 0.000 0.500
N: 0.275 0.725 0.124
N: 0.275 0.725 0.376
N: 0.433 0.567 0.750
N: 0.567 0.433 0.250
N: 0.725 0.275 0.624
N: 0.725 0.275 0.876

Computed properties:
* E_form (uncorrected): -771 meV per atom
* theoretical density: 8.1 g cm⁻³
* energy: -115.44 eV/cell
* space-group type: Cmcm, No. 63

***

Record 2
## LaDy2SiN4 (PBE)

Data for an optimized crystal structure of LaDy2SiN4.

a = 6.064 Å, b = 6.064 Å, c = 11.569 Å
α = 90.00°, β = 90.00°, γ = 147.30°
Element x y z (fractional)
La: 0.087 0.913 0.750
La: 0.913 0.087 0.250
Dy: 0.368 0.632 0.542
Dy: 0.368 0.632 0.958
Dy: 0.632 0.368 0.042
Dy: 0.632 0.368 0.458
Si: 0.178 0.822 0.250
Si: 0.822 0.178 0.750
N: 0.000 0.000 0.000
N: 0.000 0.000 0.500
N: 0.265 0.735 0.129
N: 0.265 0.735 0.371
N: 0.402 0.598 0.750
N: 0.598 0.402 0.250
N: 0.735 0.265 0.629
N: 0.735 0.265 0.871

Computed properties:
* E_form (uncorrected): -1380 meV per atom
* theoretical density: 7.9 g cm⁻³
* energy: -127.80 eV/cell
* space-group type: Cmcm, No. 63

***

Record 3
## La3DySi2N6 (PBE)

Data for an optimized crystal structure of La3DySi2N6.

a = 5.891 Å, b = 5.891 Å, c = 6.571 Å
α = 90.00°, β = 90.00°, γ = 120.00°
Element x y z (fractional)
La: 0.000 0.000 0.000
La: 0.333 0.667 0.648
La: 0.667 0.333 0.352
Dy: 0.000 0.000 0.500
Si: 0.333 0.667 0.194
Si: 0.667 0.333 0.806
N: 0.176 0.352 0.285
N: 0.176 0.824 0.285
N: 0.352 0.176 0.715
N: 0.648 0.824 0.285
N: 0.824 0.176 0.715
N: 0.824 0.648 0.715

Computed properties:
* E_form (uncorrected): -1138 meV per atom
* theoretical density: 6.0 g cm⁻³
* energy: -93.84 eV/cell
* space-group type: P-3m1, No. 164

***

Record 4
## LaSmDyN3 (PBE)

Data for an optimized crystal structure of LaSmDyN3.

a = 6.167 Å, b = 3.601 Å, c = 9.254 Å
α = 90.00°, β = 101.78°, γ = 90.00°
Element x y z (fractional)
La: 0.150 0.250 0.197
La: 0.850 0.750 0.803
Sm: 0.270 0.750 0.545
Sm: 0.730 0.250 0.455
Dy: 0.355 0.250 0.860
Dy: 0.645 0.750 0.140
N: 0.038 0.250 0.674
N: 0.258 0.750 0.986
N: 0.469 0.750 0.346
N: 0.531 0.250 0.654
N: 0.742 0.250 0.014
N: 0.962 0.750 0.326

Computed properties:
* E_form (uncorrected): -1374 meV per atom
* theoretical density: 8.2 g cm⁻³
* energy: -94.94 eV/cell
* space-group type: P2_1/m, No. 11